Entry 1:
The following is a PBE-GGA calculation of a geometry-optimized Ba4SnPb2 structure, from Alexandria.

Computed properties:
**E_tot**: -2.985 eV/atom
**Crystal system**: tetragonal
**Calculated volume**: 53.73 Å³/atom

CIF file:
```
data_Ba4SnPb2
_space_group_name_H-M_alt 'I 4/m m m'
_space_group_IT_number 139
_space_group_name_Hall '-I 4 2'
_cell_length_a 6.687
_cell_length_b 6.687
_cell_length_c 16.825
_cell_angle_alpha 90.00
_cell_angle_beta 90.00
_cell_angle_gamma 90.00
loop_
_atom_site_label
_atom_site_fract_x
_atom_site_fract_y
_atom_site_fract_z
_atom_site_occupancy
Ba1 0.000 0.000 0.199 1
Ba2 0.000 0.500 0.000 1
Sn1 0.000 0.000 0.000 1
Pb1 0.000 0.000 0.401 1
```

---

Entry 2:
The following is a PBE-GGA calculation of a geometry-optimized MgRh structure, from Alexandria.

Computed properties:
**E_tot**: -4.710 eV/atom
**Crystal system**: orthorhombic
**Calculated volume**: 16.39 Å³/atom

CIF file:
```
data_MgRh
_space_group_name_H-M_alt 'I m m 2'
_space_group_IT_number 44
_cell_length_a 2.870
_cell_length_b 12.797
_cell_length_c 5.355
_cell_angle_alpha 90.00
_cell_angle_beta 90.00
_cell_angle_gamma 90.00
loop_
_space_group_symop_operation_xyz
'x,y,z'
'-x,-y,z'
'-x,y,z'
'x,-y,z'
'x+1/2,y+1/2,z+1/2'
'-x+1/2,-y+1/2,z+1/2'
'-x+1/2,y+1/2,z+1/2'
'x+1/2,-y+1/2,z+1/2'
loop_
_atom_site_label
_atom_site_fract_x
_atom_site_fract_y
_atom_site_fract_z
_atom_site_occupancy
Mg1 0.000 0.000 0.000 1
Mg2 0.000 0.319 0.761 1
Rh1 0.000 0.000 0.484 1
Rh2 0.000 0.360 0.252 1
```

---

Entry 3:
The following is a PBE-GGA calculation of a geometry-optimized RbSrCd2Rh structure, from Alexandria.

Computed properties:
**E_tot**: -2.483 eV/atom
**Crystal system**: tetragonal
**Calculated volume**: 33.06 Å³/atom

CIF file:
```
data_RbSrCd2Rh
_space_group_name_H-M_alt 'P 4/m m m'
_space_group_IT_number 123
_space_group_name_Hall '-P 4 2'
_cell_length_a 5.473
_cell_length_b 5.473
_cell_length_c 5.518
_cell_angle_alpha 90.00
_cell_angle_beta 90.00
_cell_angle_gamma 90.00
loop_
_atom_site_label
_atom_site_fract_x
_atom_site_fract_y
_atom_site_fract_z
_atom_site_occupancy
Rb1 0.000 0.000 0.000 1
Sr1 0.500 0.500 0.000 1
Cd1 0.000 0.500 0.500 1
Rh1 0.500 0.500 0.500 1
```

---

Entry 4:
The following is a PBE-GGA calculation of a geometry-optimized PbW2N2 structure, from Alexandria.

Computed properties:
**ΔE_f (raw)**: 292 meV/atom
**E above lowest polymorph**: 0 meV per atom
**Crystal system**: tetragonal
**Calculated volume**: 18.19 Å³/atom

CIF file:
```
data_PbW2N2
_space_group_name_H-M_alt 'I 4/m m m'
_space_group_IT_number 139
_space_group_name_Hall '-I 4 2'
_cell_length_a 4.085
_cell_length_b 4.085
_cell_length_c 10.898
_cell_angle_alpha 90.00
_cell_angle_beta 90.00
_cell_angle_gamma 90.00
loop_
_atom_site_label
_atom_site_fract_x
_atom_site_fract_y
_atom_site_fract_z
_atom_site_occupancy
Pb1 0.000 0.000 0.000 1
W1 0.000 0.500 0.250 1
N1 0.000 0.000 0.266 1
```

---

Entry 5:
The following is a PBE-GGA calculation of a geometry-optimized La2TaZnCo structure, from Alexandria.

Computed properties:
**E above lowest polymorph**: 0 meV per atom
**Crystal system**: tetragonal
**Calculated volume**: 25.33 Å³/atom

CIF file:
```
data_La2TaZnCo
_space_group_name_H-M_alt 'P 4/m m m'
_space_group_IT_number 123
_space_group_name_Hall '-P 4 2'
_cell_length_a 5.219
_cell_length_b 5.219
_cell_length_c 4.649
_cell_angle_alpha 90.00
_cell_angle_beta 90.00
_cell_angle_gamma 90.00
loop_
_atom_site_label
_atom_site_fract_x
_atom_site_fract_y
_atom_site_fract_z
_atom_site_occupancy
La1 0.000 0.500 0.000 1
Ta1 0.000 0.000 0.500 1
Zn1 0.500 0.500 0.500 1
Co1 0.500 0.500 0.000 1
```

---

Entry 6:
The following is a PBE-GGA calculation of a geometry-optimized KTlZn2 structure, from Alexandria.

Computed properties:
**E above lowest polymorph**: 51 meV per atom
**Crystal system**: orthorhombic
**Calculated volume**: 26.05 Å³/atom

CIF file:
```
data_KTlZn2
_space_group_name_H-M_alt 'P m m 2'
_space_group_IT_number 25
_cell_length_a 3.329
_cell_length_b 3.730
_cell_length_c 8.390
_cell_angle_alpha 90.00
_cell_angle_beta 90.00
_cell_angle_gamma 90.00
loop_
_space_group_symop_operation_xyz
'x,y,z'
'-x,-y,z'
'-x,y,z'
'x,-y,z'
loop_
_atom_site_label
_atom_site_fract_x
_atom_site_fract_y
_atom_site_fract_z
_atom_site_occupancy
K1 0.000 0.000 0.000 1
Tl1 0.500 0.500 0.334 1
Zn1 0.000 0.000 0.575 1
Zn2 0.500 0.500 0.699 1
```

---

Entry 7:
The following is a PBE-GGA calculation of a geometry-optimized NaNpSN structure, from Alexandria.

Computed properties:
**ΔE_f (raw)**: -1070 meV/atom
**Crystal system**: trigonal
**Calculated volume**: 18.47 Å³/atom

CIF file:
```
data_NaNpSN
_space_group_name_H-M_alt 'R 3 m'
_space_group_IT_number 160
_space_group_name_Hall 'R 3 -2"'
_cell_length_a 3.6776
_cell_length_b 3.6776
_cell_length_c 18.9265
_cell_angle_alpha 90.00
_cell_angle_beta 90.00
_cell_angle_gamma 120.00
loop_
_atom_site_label
_atom_site_fract_x
_atom_site_fract_y
_atom_site_fract_z
_atom_site_occupancy
Na1 0.0000 0.0000 0.0000 1
Np1 0.0000 0.0000 0.4803 1
S1 0.0000 0.0000 0.2391 1
N1 0.0000 0.0000 0.7706 1
```

---

Entry 8:
The following is a PBE-GGA calculation of a geometry-optimized Pu2SnPd structure, from Alexandria.

Computed properties:
**E_tot**: -9.721 eV/atom
**Crystal system**: cubic
**Calculated volume**: 24.69 Å³/atom

CIF file:
```
data_Pu2SnPd
_space_group_name_H-M_alt 'F m -3 m'
_space_group_IT_number 225
_space_group_name_Hall '-F 4 2 3'
_cell_length_a 7.337
_cell_length_b 7.337
_cell_length_c 7.337
_cell_angle_alpha 90.00
_cell_angle_beta 90.00
_cell_angle_gamma 90.00
loop_
_atom_site_label
_atom_site_fract_x
_atom_site_fract_y
_atom_site_fract_z
_atom_site_occupancy
Pu1 0.250 0.250 0.250 1
Sn1 0.000 0.000 0.000 1
Pd1 0.000 0.000 0.500 1
```

---

Entry 9:
The following is a PBE-GGA calculation of a geometry-optimized LiDyMg2Au4 structure, from Alexandria.

Computed properties:
**E_tot**: -3.516 eV/atom
**Crystal system**: trigonal
**Calculated volume**: 19.16 Å³/atom

CIF file:
```
data_LiDyMg2Au4
_space_group_name_H-M_alt 'R -3 m'
_space_group_IT_number 166
_space_group_name_Hall '-R 3 2"'
_cell_length_a 4.6752
_cell_length_b 4.6752
_cell_length_c 24.2908
_cell_angle_alpha 90.00
_cell_angle_beta 90.00
_cell_angle_gamma 120.00
loop_
_atom_site_label
_atom_site_fract_x
_atom_site_fract_y
_atom_site_fract_z
_atom_site_occupancy
Li1 0.0000 0.0000 0.0000 1
Dy1 0.0000 0.0000 0.5000 1
Mg1 0.0000 0.0000 0.2579 1
Au1 0.0000 0.0000 0.1104 1
Au2 0.0000 0.0000 0.3741 1
```

---

Entry 10:
The following is a PBE-GGA calculation of a geometry-optimized Ho2Ga3Cu12Ni structure, from Alexandria.

Computed properties:
**E_tot**: -4.032 eV/atom
**Crystal system**: trigonal
**Calculated volume**: 15.47 Å³/atom

CIF file:
```
data_Ho2Ga3Cu12Ni
_space_group_name_H-M_alt 'R -3 m'
_space_group_IT_number 166
_space_group_name_Hall '-R 3 2"'
_cell_length_a 5.2086
_cell_length_b 5.2086
_cell_length_c 35.5641
_cell_angle_alpha 90.00
_cell_angle_beta 90.00
_cell_angle_gamma 120.00
loop_
_atom_site_label
_atom_site_fract_x
_atom_site_fract_y
_atom_site_fract_z
_atom_site_occupancy
Ho1 0.0000 0.0000 0.1447 1
Ga1 0.0000 0.5000 0.0000 1
Cu1 0.0012 0.5006 0.1120 1
Cu2 0.0128 0.5064 0.6092 1
Ni1 0.0000 0.0000 0.5000 1
```

---

Entry 11:
The following is a PBE-GGA calculation of a geometry-optimized Ac4RuBrCl2 structure, from Alexandria.

Computed properties:
**ΔE_f (raw)**: -1102 meV/atom
**Crystal system**: monoclinic
**Calculated volume**: 33.65 Å³/atom

CIF file:
```
data_Ac4RuBrCl2
_space_group_name_H-M_alt 'P 1 2/m 1'
_space_group_IT_number 10
_cell_length_a 7.823
_cell_length_b 4.279
_cell_length_c 8.461
_cell_angle_alpha 90.00
_cell_angle_beta 108.08
_cell_angle_gamma 90.00
loop_
_space_group_symop_operation_xyz
'x,y,z'
'-x,-y,-z'
'-x,y,-z'
'x,-y,z'
loop_
_atom_site_label
_atom_site_fract_x
_atom_site_fract_y
_atom_site_fract_z
_atom_site_occupancy
Ac1 0.214 0.000 0.205 1
Ac2 0.243 0.500 0.792 1
Ru1 0.000 0.500 0.000 1
Br1 0.000 0.000 0.500 1
Cl1 0.500 0.000 0.000 1
Cl2 0.500 0.500 0.500 1
```

---

Entry 12:
The following is a PBE-GGA calculation of a geometry-optimized Th6TlCd structure, from Alexandria.

Computed properties:
**E_tot**: -5.952 eV/atom
**Crystal system**: tetragonal
**Calculated volume**: 30.45 Å³/atom

CIF file:
```
data_Th6TlCd
_space_group_name_H-M_alt 'I 4/m m m'
_space_group_IT_number 139
_space_group_name_Hall '-I 4 2'
_cell_length_a 5.794
_cell_length_b 5.794
_cell_length_c 14.515
_cell_angle_alpha 90.00
_cell_angle_beta 90.00
_cell_angle_gamma 90.00
loop_
_atom_site_label
_atom_site_fract_x
_atom_site_fract_y
_atom_site_fract_z
_atom_site_occupancy
Th1 0.000 0.000 0.249 1
Th2 0.000 0.500 0.118 1
Tl1 0.000 0.000 0.500 1
Cd1 0.000 0.000 0.000 1
```